1.
Entry from the Alexandria database: crystalline BaLa2Co3O9 at its relaxed geometry (GGA+U).

The space group is P-3m1 (No. 164) and the conventional cell measures 5.5332, 5.5332 and 6.7208 Å, with angles of 90.00, 90.00 and 120.00 degrees. The inequivalent atoms are Ba at (0.0000, 0.0000, 0.0000), La at (0.3333, 0.6667, 0.6668), Co at (0.0000, 0.0000, 0.5000), Co at (0.3333, 0.6667, 0.1660), O at (0.0000, 0.5000, 0.0000) and O at (0.1724, 0.3448, 0.3472).

The calculation puts the energy at -6.762 eV/atom. The calculation puts the volume at 11.88 Å³ per atom.


2.
Entry from the Alexandria database: crystalline BaLa2CoO at its relaxed geometry (GGA+U).

The space group is P4/mmm (No. 123) and the conventional cell measures 5.837, 5.837 and 4.456 Å, with angles of 90.00, 90.00 and 90.00 degrees. The inequivalent atoms are Ba at (0.000, 0.000, 0.000), La at (0.000, 0.500, 0.000), Co at (0.000, 0.000, 0.500) and O at (0.500, 0.500, 0.500).

The calculation puts the energy at -3.035 eV/atom. The calculation puts the volume at 30.37 Å³ per atom.


3.
Entry from the Alexandria database: crystalline BaLa2CoO5 at its relaxed geometry (GGA+U).

The space group is P4/mbm (No. 127) and the conventional cell measures 6.872, 6.872 and 5.842 Å, with angles of 90.00, 90.00 and 90.00 degrees. The inequivalent atoms are Ba at (0.000, 0.000, 0.000), La at (0.176, 0.324, 0.500), Co at (0.000, 0.500, 0.000), O at (0.000, 0.000, 0.500) and O at (0.135, 0.635, 0.236).

The calculation puts the energy at -7.308 eV/atom. The calculation puts the volume at 15.33 Å³ per atom.